Sr3Mg4Ge4 after structural relaxation, computed with PBE. Values from VASP.

Calculated values
D(E_F) (states/eV per cell): 1.4
ΔE_f (meV/atom): -497
Symmetry: Immm (71)

```
&SYSTEM
  ibrav = 0, nat = 11, ntyp = 3
/
ATOMIC_SPECIES
Ge 72.64 Ge.upf
Mg 24.30 Mg.upf
Sr 87.62 Sr.upf
ATOMIC_POSITIONS crystal
Ge 0.500 0.820 0.000
Mg 0.329 0.529 0.657
Mg 0.329 0.129 0.657
Ge 0.217 0.717 0.435
Sr 0.000 0.500 0.000
Ge 0.500 0.180 0.000
Mg 0.671 0.471 0.343
Sr 0.118 0.118 0.235
Sr 0.882 0.882 0.765
Mg 0.671 0.871 0.343
Ge 0.783 0.283 0.565
CELL_PARAMETERS angstrom
-1.505 0.990 -4.338
-7.038 0.146 2.475
4.952 6.998 2.422
```